# 1
Compound: Ni2AsRu
Source: Alexandria
Functional: PBE
Structure: relaxed

Computed properties:
- energy of formation (eV/atom) = -0.0037
- E_tot (eV/atom) = -6.38
- calculated volume (Å³ per atom) = 12.75
- spin magnetization (μB per cell) = 0.000

a b c (Å): 4.562 4.562 4.293
angles (deg): 109.16 109.16 37.48
Positions (direct):
Ni 0.000 0.000 0.000
Ni 0.249 0.249 0.836
As 0.721 0.721 0.327
Ru 0.465 0.465 0.482

---

# 2
Compound: Ni2AsRu
Source: Alexandria
Functional: PBE
Structure: relaxed

Computed properties:
- energy of formation (eV/atom) = 0.1439
- E_tot (eV/atom) = -6.23
- calculated volume (Å³ per atom) = 12.97
- spin magnetization (μB per cell) = 0.000

a b c (Å): 2.784 2.784 6.691
angles (deg): 90.00 90.00 90.00
Positions (direct):
Ni 0.000 0.000 0.244
Ni 0.000 0.000 0.756
As 0.500 0.500 0.000
Ru 0.500 0.500 0.500

---

# 3
Compound: Ni2AsRu
Source: Alexandria
Functional: PBE
Structure: relaxed

Computed properties:
- energy of formation (eV/atom) = 0.1622
- E_tot (eV/atom) = -6.21
- calculated volume (Å³ per atom) = 13.01
- spin magnetization (μB per cell) = 0.000

a b c (Å): 8.105 8.105 8.105
angles (deg): 19.54 19.54 19.54
Positions (direct):
Ni 0.246 0.246 0.246
Ni 0.754 0.754 0.754
As 0.500 0.500 0.500
Ru 0.000 0.000 0.000

---

# 4
Compound: ScNiAsRu2
Source: Alexandria
Functional: PBE
Structure: relaxed

Computed properties:
- energy of formation (eV/atom) = 0.7065
- E_tot (eV/atom) = -6.36
- calculated volume (Å³ per atom) = 19.66
- spin magnetization (μB per cell) = 1.352

a b c (Å): 4.486 4.486 4.884
angles (deg): 90.00 90.00 90.00
Positions (direct):
Sc 0.000 0.000 0.000
Ni 0.500 0.500 0.000
As 0.000 0.000 0.500
Ru 0.000 0.500 0.500
Ru 0.500 0.000 0.500